The following is a DFT calculation (PBE) of crystalline LiB11 at its relaxed geometry.

It has space group F-43m (No. 216), with a = 6.949 Å, b = 6.949 Å, c = 6.949 Å, α = 90.00°, β = 90.00° and γ = 90.00°. The inequivalent atoms are Li at (0.000, 0.000, 0.000), B at (0.050, 0.250, 0.250), B at (0.104, 0.104, 0.604) and B at (0.250, 0.250, 0.750).

The density of states at the Fermi level comes out at 0.186 states/eV/atom. The value obtained for the calculated formation energy is 9.589 eV per formula unit. The energy above the most stable polymorph in this dataset is 0.673 eV/atom.

The following is a DFT calculation (PBE) of crystalline ZnSiSe at its relaxed geometry.

It has space group P-6m2 (No. 187), with a = 4.9058 Å, b = 4.9058 Å, c = 2.6437 Å, α = 90.00°, β = 90.00° and γ = 120.00°. The inequivalent atoms are Zn at (0.0000, 0.0000, 0.0000), Si at (0.6667, 0.3333, 0.0000) and Se at (0.3333, 0.6667, 0.0000).

The formation energy without anion corrections comes out at 0.31 eV/atom. The density of states at the Fermi level comes out at 0.334 states/eV/atom. The energy above the most stable polymorph in this dataset is 0.023 eV/atom.

The following is a DFT calculation (PBE) of crystalline YZr2Ni at its relaxed geometry.

It has space group Pmmm (No. 47), with a = 3.518 Å, b = 4.610 Å, c = 5.265 Å, α = 90.00°, β = 90.00° and γ = 90.00°. The inequivalent atoms are Y at (0.000, 0.000, 0.000), Zr at (0.000, 0.500, 0.500), Zr at (0.500, 0.000, 0.500) and Ni at (0.500, 0.500, 0.000).

The density of states at the Fermi level comes out at 1.324 states/eV/atom. The value obtained for the calculated formation energy is 0.337 eV per formula unit. The energy above the most stable polymorph in this dataset is 0.246 eV/atom.

The following is a DFT calculation (PBE) of crystalline Ta3Fe at its relaxed geometry.

It has space group Pmm2 (No. 25), with a = 2.837 Å, b = 2.908 Å, c = 8.396 Å, α = 90.00°, β = 90.00° and γ = 90.00°. The inequivalent atoms are Ta at (0.000, 0.000, 0.000), Ta at (0.000, 0.500, 0.307), Ta at (0.500, 0.500, 0.729) and Fe at (0.500, 0.000, 0.490).

The density of states at the Fermi level comes out at 1.081 states/eV/atom. The value obtained for the calculated formation energy is 1.629 eV per formula unit.

The following is a DFT calculation (PBE) of crystalline Na3Li2Ga7 at its relaxed geometry.

It has space group R-3m (No. 166, hexagonal axes), with a = 5.6229 Å, b = 5.6229 Å, c = 26.4499 Å, α = 90.00°, β = 90.00° and γ = 120.00°. The inequivalent atoms are Na at (0.0000, 0.0000, 0.0000), Na at (0.0000, 0.0000, 0.1423), Li at (0.0000, 0.0000, 0.3342), Ga at (0.0000, 0.0000, 0.5000) and Ga at (0.0053, 0.5027, 0.9169).

The density of states at the Fermi level comes out at 0.453 states/eV/atom. The value obtained for the calculated formation energy is -1.798 eV per formula unit.

The following is a DFT calculation (PBE) of crystalline NaFe2Br at its relaxed geometry.

It has space group I-42d (No. 122), with a = 7.988 Å, b = 7.988 Å, c = 5.177 Å, α = 90.00°, β = 90.00° and γ = 90.00°. The inequivalent atoms are Na at (0.000, 0.000, 0.000), Fe at (0.198, 0.250, 0.625) and Br at (0.000, 0.000, 0.500).

The formation energy without anion corrections comes out at 0.78 eV/atom. The density of states at the Fermi level comes out at 0.945 states/eV/atom. The energy above the most stable polymorph in this dataset is 0.000 eV/atom.

The following is a DFT calculation (PBE) of crystalline K2AsPb at its relaxed geometry.

It has space group C2/m (No. 12), with a = 11.287 Å, b = 3.344 Å, c = 6.869 Å, α = 90.00°, β = 96.78° and γ = 90.00°. The inequivalent atoms are K at (0.239, 0.000, 0.223), As at (0.000, 0.500, 0.000) and Pb at (0.000, 0.000, 0.500).

The density of states at the Fermi level comes out at 0.792 states/eV/atom. The value obtained for the calculated formation energy is 0.096 eV per formula unit. The energy above the most stable polymorph in this dataset is 0.339 eV/atom.

The following is a DFT calculation (PBE) of crystalline Cs4TiBi4 at its relaxed geometry.

It has space group I-42m (No. 121), with a = 7.829 Å, b = 7.829 Å, c = 17.257 Å, α = 90.00°, β = 90.00° and γ = 90.00°. The inequivalent atoms are Cs at (0.189, 0.189, 0.356), Ti at (0.000, 0.000, 0.000) and Bi at (0.147, 0.147, 0.128).

The density of states at the Fermi level comes out at 0.085 states/eV/atom. The value obtained for the calculated formation energy is -1.486 eV per formula unit.

The following is a DFT calculation (PBE) of crystalline Be2CdPt at its relaxed geometry.

It has space group Pm (No. 6), with a = 2.809 Å, b = 3.734 Å, c = 5.306 Å, α = 90.00°, β = 105.33° and γ = 90.00°. The inequivalent atoms are Be at (0.000, 0.000, 0.000), Be at (0.119, 0.500, 0.240), Cd at (0.745, 0.000, 0.486) and Pt at (0.436, 0.500, 0.872).

The density of states at the Fermi level comes out at 0.378 states/eV/atom. The value obtained for the calculated formation energy is -0.665 eV per formula unit.

The following is a DFT calculation (PBE) of crystalline RbPrIO6 at its relaxed geometry.

It has space group P312 (No. 149), with a = 5.9464 Å, b = 5.9464 Å, c = 6.0114 Å, α = 90.00°, β = 90.00° and γ = 120.00°. The inequivalent atoms are Rb at (0.0000, 0.0000, 0.0000), Pr at (0.3333, 0.6667, 0.5000), I at (0.6667, 0.3333, 0.5000) and O at (0.4150, 0.0617, 0.6811).

The formation energy without anion corrections comes out at -1.32 eV/atom. The density of states at the Fermi level comes out at 0.719 states/eV/atom.

The following is a DFT calculation (PBE) of crystalline CeTh2P2Rh7 at its relaxed geometry.

It has space group C2/m (No. 12), with a = 5.703 Å, b = 5.657 Å, c = 13.574 Å, α = 90.00°, β = 98.09° and γ = 90.00°. The inequivalent atoms are Ce at (0.000, 0.000, 0.000), Th at (0.108, 0.000, 0.351), P at (0.084, 0.500, 0.249), Rh at (0.000, 0.500, 0.000), Rh at (0.126, 0.500, 0.422) and Rh at (0.196, 0.250, 0.838).

The density of states at the Fermi level comes out at 0.479 states/eV/atom. The value obtained for the calculated formation energy is -11.860 eV per formula unit.

The following is a DFT calculation (PBE) of crystalline LiMgCrAg2 at its relaxed geometry.

It has space group P4/mmm (No. 123), with a = 4.795 Å, b = 4.795 Å, c = 4.510 Å, α = 90.00°, β = 90.00° and γ = 90.00°. The inequivalent atoms are Li at (0.000, 0.000, 0.000), Mg at (0.000, 0.000, 0.500), Cr at (0.500, 0.500, 0.000) and Ag at (0.000, 0.500, 0.500).

The density of states at the Fermi level comes out at 1.034 states/eV/atom. The value obtained for the calculated formation energy is 6.252 eV per formula unit.

The following is a DFT calculation (PBE) of crystalline TiZnGaTc at its relaxed geometry.

It has space group Imm2 (No. 44), with a = 3.387 Å, b = 4.128 Å, c = 8.461 Å, α = 90.00°, β = 90.00° and γ = 90.00°. The inequivalent atoms are Ti at (0.000, 0.000, 0.000), Zn at (0.000, 0.500, 0.248), Ga at (0.000, 0.500, 0.753) and Tc at (0.000, 0.000, 0.498).

The density of states at the Fermi level comes out at 0.407 states/eV/atom. The value obtained for the calculated formation energy is -1.210 eV per formula unit. The energy above the most stable polymorph in this dataset is 0.000 eV/atom.